No. 1
First-principles (GGA-PBE) data for TlCdAgAu after structural relaxation, as listed in the Alexandria database.

abc: 4.9554 4.9554 4.9554
angles: 60.00 60.00 60.00
Sites, in units of the cell vectors:
1 Tl 0.2500 0.2500 0.2500
2 Au 0.5000 0.5000 0.5000
3 Ag 0.0000 0.0000 0.0000
4 Cd 0.7500 0.7500 0.7500

Properties
Its energy of formation is 37 meV per atom.

***

No. 2
First-principles (GGA-PBE) data for YCdAgAu after structural relaxation, as listed in the Alexandria database.

abc: 4.9427 4.9427 4.9427
angles: 60.00 60.00 60.00
Sites, in units of the cell vectors:
1 Y 0.7500 0.7500 0.7500
2 Au 0.5000 0.5000 0.5000
3 Ag 0.0000 0.0000 0.0000
4 Cd 0.2500 0.2500 0.2500

Properties
Its energy of formation is -485 meV per atom.

***

No. 3
First-principles (GGA-PBE) data for Zn2CdAg2Au5 after structural relaxation, as listed in the Alexandria database.

abc: 4.1961 9.3241 9.3241
angles: 90.00 90.00 90.00
Sites, in units of the cell vectors:
1 Zn 0.0000 0.1259 0.6259
2 Zn 0.0000 0.8741 0.3741
3 Zn 0.0000 0.6259 0.8741
4 Zn 0.0000 0.3741 0.1259
5 Cd 0.0000 0.0000 0.0000
6 Cd 0.0000 0.5000 0.5000
7 Ag 0.0000 0.6699 0.1699
8 Ag 0.0000 0.3301 0.8301
9 Ag 0.0000 0.1699 0.3301
10 Ag 0.0000 0.8301 0.6699
11 Au 0.5000 0.1978 0.0858
12 Au 0.5000 0.8022 0.9142
13 Au 0.5000 0.0858 0.8022
14 Au 0.5000 0.6978 0.4142
15 Au 0.5000 0.9142 0.1978
16 Au 0.5000 0.3022 0.5858
17 Au 0.5000 0.5858 0.6978
18 Au 0.5000 0.4142 0.3022
19 Au 0.5000 0.5000 0.0000
20 Au 0.5000 0.0000 0.5000

Properties
Its energy of formation is -100 meV per atom.

***

No. 4
First-principles (GGA-PBE) data for Zn2CdAgAu5 after structural relaxation, as listed in the Alexandria database.

abc: 6.9740 6.9740 8.5213
angles: 114.16 114.16 90.00
Sites, in units of the cell vectors:
1 Zn 0.1184 0.3816 0.0000
2 Zn 0.6184 0.1184 0.0000
3 Zn 0.3816 0.8816 0.0000
4 Zn 0.8816 0.6184 0.0000
5 Cd 0.2500 0.2500 0.5000
6 Cd 0.7500 0.7500 0.5000
7 Ag 0.2500 0.7500 0.5000
8 Ag 0.7500 0.2500 0.5000
9 Au 0.9147 0.4147 0.2822
10 Au 0.6325 0.1325 0.7178
11 Au 0.0853 0.5853 0.7178
12 Au 0.1325 0.0853 0.7178
13 Au 0.5853 0.6325 0.7178
14 Au 0.8675 0.9147 0.2822
15 Au 0.4147 0.3675 0.2822
16 Au 0.3675 0.8675 0.2822
17 Au 0.5000 0.5000 0.0000
18 Au 0.0000 0.0000 0.0000

Properties
Its energy of formation is 38 meV per atom.

***

No. 5
First-principles (GGA-PBE) data for ZnCd2AgAu after structural relaxation, as listed in the Alexandria database.

abc: 4.7361 5.0960 8.2502
angles: 70.12 90.00 90.00
Sites, in units of the cell vectors:
1 Zn 0.2500 0.5496 0.7008
2 Zn 0.7500 0.4504 0.2992
3 Cd 0.7500 0.8398 0.4862
4 Cd 0.7500 0.6419 0.8897
5 Cd 0.2500 0.1602 0.5138
6 Cd 0.2500 0.3581 0.1103
7 Ag 0.2500 0.9701 0.9007
8 Ag 0.7500 0.0299 0.0993
9 Au 0.2500 0.7485 0.3010
10 Au 0.7500 0.2515 0.6990

Properties
Its energy of formation is -76 meV per atom.

***

No. 6
First-principles (GGA-PBE) data for Zn2CdAg3Au3 after structural relaxation, as listed in the Alexandria database.

abc: 2.9402 7.8565 7.8565
angles: 120.00 90.00 90.00
Sites, in units of the cell vectors:
1 Zn 0.5000 0.6667 0.3333
2 Zn 0.5000 0.3333 0.6667
3 Cd 0.0000 0.0000 0.0000
4 Ag 0.5000 0.6875 0.0000
5 Ag 0.5000 0.0000 0.6875
6 Ag 0.5000 0.3125 0.3125
7 Au 0.0000 0.6302 0.6302
8 Au 0.0000 0.0000 0.3698
9 Au 0.0000 0.3698 0.0000

Properties
Its energy of formation is -97 meV per atom.

***

No. 7
First-principles (GGA-PBE) data for Zn2CdAgAu2 after structural relaxation, as listed in the Alexandria database.

abc: 4.6076 4.6076 5.6695
angles: 90.00 90.00 120.00
Sites, in units of the cell vectors:
1 Zn 0.3333 0.6667 0.7215
2 Zn 0.6667 0.3333 0.2785
3 Cd 0.0000 0.0000 0.0000
4 Ag 0.0000 0.0000 0.5000
5 Au 0.3333 0.6667 0.2369
6 Au 0.6667 0.3333 0.7631

Properties
Its energy of formation is -177 meV per atom.

***

No. 8
First-principles (GGA-PBE) data for Zn2Cd2Ag7Au after structural relaxation, as listed in the Alexandria database.

abc: 4.7518 5.2525 9.4979
angles: 106.05 104.49 90.00
Sites, in units of the cell vectors:
1 Zn 0.2614 0.7979 0.5229
2 Zn 0.7386 0.2750 0.4771
3 Cd 0.3317 0.3896 0.6634
4 Cd 0.6683 0.7262 0.3366
5 Ag 0.4178 0.9963 0.8356
6 Ag 0.8350 0.7570 0.6700
7 Ag 0.0838 0.4943 0.1677
8 Ag 0.5822 0.1607 0.1644
9 Ag 0.1650 0.0870 0.3300
10 Ag 0.9162 0.3266 0.8323
11 Ag 0.5000 0.5801 0.0000
12 Au 0.0000 0.9091 0.0000

Properties
Its energy of formation is 6 meV per atom.

***

No. 9
First-principles (GGA-PBE) data for ZrCdAgAu after structural relaxation, as listed in the Alexandria database.

abc: 4.7904 4.7904 4.7904
angles: 60.00 60.00 60.00
Sites, in units of the cell vectors:
1 Au 0.5000 0.5000 0.5000
2 Zr 0.2500 0.2500 0.2500
3 Ag 0.0000 0.0000 0.0000
4 Cd 0.7500 0.7500 0.7500

Properties
Its energy of formation is -288 meV per atom.

***

No. 10
First-principles (GGA-PBE) data for Ce4AgAu2 after structural relaxation, as listed in the Alexandria database.

abc: 4.1725 4.1725 13.0873
angles: 80.83 80.83 60.00
Last column: magnetic moment on the atom in μB.
Sites, in units of the cell vectors:
1 Ce 0.6851 0.6851 0.9446  -0.09
2 Ce 0.8859 0.8859 0.3422  0.84
3 Ce 0.3149 0.3149 0.0554  -0.09
4 Ce 0.1141 0.1141 0.6578  0.84
5 Ag 0.5000 0.5000 0.5000  0.01
6 Au 0.5987 0.5987 0.2039  0.00
7 Au 0.4013 0.4013 0.7961  0.00

Properties
As for the polymorph energy (0 for the lowest one): 0.052 eV per atom. Its energy of formation is -215 meV per atom.

***

No. 11
First-principles (GGA-PBE) data for Ce8AgAu2 after structural relaxation, as listed in the Alexandria database.

abc: 5.4662 7.3505 8.3195
angles: 116.19 109.19 90.00
Last column: magnetic moment on the atom in μB.
Sites, in units of the cell vectors:
1 Ce 0.6441 0.8312 0.2883  0.47
2 Ce 0.3561 0.5432 0.7120  0.47
3 Ce 0.1367 0.1366 0.2736  0.27
4 Ce 0.0001 0.2655 0.0002  0.17
5 Ce 0.8633 0.8634 0.7264  0.27
6 Ce 0.6439 0.4568 0.2880  0.47
7 Ce 0.3559 0.1688 0.7117  0.47
8 Ce 0.9999 0.7345 0.9998  0.17
9 Ag 0.5000 0.0000 0.0000  0.00
10 Au 0.2041 0.7040 0.4081  0.01
11 Au 0.7959 0.2960 0.5919  0.01

Properties
Its energy of formation is -162 meV per atom.

***

No. 12
First-principles (GGA-PBE) data for CeAg2Au after structural relaxation, as listed in the Alexandria database.

abc: 4.9759 4.9759 4.9759
angles: 60.00 60.00 60.00
Last column: magnetic moment on the atom in μB.
Sites, in units of the cell vectors:
1 Au 0.5000 0.5000 0.5000  0.01
2 Ag 0.2500 0.2500 0.2500  0.01
3 Ag 0.7500 0.7500 0.7500  0.01
4 Ce 0.0000 0.0000 0.0000  0.86

Properties
As for the polymorph energy (0 for the lowest one): 0.110 eV per atom. Its energy of formation is -196 meV per atom.